# 1
Compound: TaAlSi
Source: Alexandria via LeMat-Bulk
Functional: PBE-GGA
Structure: relaxed

Computed properties:
calculated total energy: -86.82 eV for the cell shown
magnetization: 0.0 μB/cell
uncorrected formation energy: -0.23 eV/atom

Unit cell a=5.913 b=8.701 c=4.666 alpha=90.00 beta=128.68 gamma=90.00
Sites, in units of the cell vectors:
1 Ta 0.250 0.245 0.250
2 Al 0.250 0.573 0.250
3 Ta 0.250 0.745 0.750
4 Si 0.750 0.089 0.750
5 Si 0.250 0.911 0.250
6 Al 0.250 0.073 0.750
7 Si 0.250 0.411 0.750
8 Ta 0.750 0.755 0.750
9 Al 0.750 0.427 0.750
10 Al 0.750 0.927 0.250
11 Ta 0.750 0.255 0.250
12 Si 0.750 0.589 0.250

---

# 2
Compound: TaAl2Si
Source: Alexandria via LeMat-Bulk
Functional: PBE-GGA
Structure: relaxed

Computed properties:
calculated total energy: -25.29 eV for the cell shown
magnetization: 0.0 μB/cell
uncorrected formation energy: -0.13 eV/atom

Unit cell a=3.506 b=3.507 c=5.235 alpha=90.00 beta=90.00 gamma=90.00
Sites, in units of the cell vectors:
1 Al 0.000 0.000 0.000
2 Ta 0.500 0.500 0.750
3 Al 0.000 0.000 0.500
4 Si 0.500 0.500 0.250

---

# 3
Compound: Ta4AlSi
Source: Alexandria via LeMat-Bulk
Functional: PBE-GGA
Structure: relaxed

Computed properties:
calculated total energy: -53.58 eV for the cell shown
magnetization: 0.0 μB/cell
uncorrected formation energy: 0.50 eV/atom

Unit cell a=5.441 b=5.441 c=5.441 alpha=60.00 beta=60.00 gamma=60.00
Sites, in units of the cell vectors:
1 Ta 0.624 0.624 0.624
2 Ta 0.624 0.624 0.127
3 Si 0.000 0.000 0.000
4 Al 0.250 0.250 0.250
5 Ta 0.624 0.127 0.624
6 Ta 0.127 0.624 0.624

---

# 4
Compound: Ta2Al2Si
Source: Alexandria via LeMat-Bulk
Functional: PBE-GGA
Structure: relaxed

Computed properties:
calculated total energy: -74.24 eV for the cell shown
magnetization: 0.0 μB/cell
uncorrected formation energy: -0.10 eV/atom

Unit cell a=6.588 b=6.588 c=4.067 alpha=90.00 beta=90.00 gamma=90.00
Sites, in units of the cell vectors:
1 Ta 0.341 0.841 0.000
2 Ta 0.159 0.341 0.000
3 Al 0.355 0.145 0.500
4 Al 0.855 0.355 0.500
5 Si 0.500 0.500 0.000
6 Si 0.000 0.000 0.000
7 Ta 0.659 0.159 0.000
8 Al 0.145 0.645 0.500
9 Al 0.645 0.855 0.500
10 Ta 0.841 0.659 0.000

---

# 5
Compound: TaAlSi
Source: Alexandria via LeMat-Bulk
Functional: PBE-GGA
Structure: relaxed

Computed properties:
calculated total energy: -86.68 eV for the cell shown
magnetization: 0.0 μB/cell
uncorrected formation energy: -0.22 eV/atom

Unit cell a=5.664 b=3.728 c=9.443 alpha=90.00 beta=111.60 gamma=90.00
Sites, in units of the cell vectors:
1 Ta 0.755 0.500 0.893
2 Al 0.951 0.000 0.746
3 Ta 0.161 0.500 0.605
4 Si 0.447 0.000 0.756
5 Si 0.628 0.500 0.571
6 Si 0.628 0.000 0.071
7 Si 0.447 0.500 0.256
8 Ta 0.161 0.000 0.105
9 Ta 0.755 0.000 0.393
10 Al 0.288 0.500 0.928
11 Al 0.288 0.000 0.428
12 Al 0.951 0.500 0.246

---

# 6
Compound: TaAlSi
Source: Alexandria via LeMat-Bulk
Functional: PBE-GGA
Structure: relaxed

Computed properties:
calculated total energy: -21.22 eV for the cell shown
magnetization: 0.0 μB/cell
uncorrected formation energy: -0.07 eV/atom

Unit cell a=2.928 b=2.928 c=6.601 alpha=90.00 beta=90.00 gamma=120.00
Sites, in units of the cell vectors:
1 Si 0.333 0.667 0.334
2 Al 0.000 0.000 0.005
3 Ta 0.667 0.333 0.661

---

# 7
Compound: TaAl2Si
Source: Alexandria via LeMat-Bulk
Functional: PBE-GGA
Structure: relaxed

Computed properties:
calculated total energy: -23.65 eV for the cell shown
magnetization: 0.0 μB/cell
uncorrected formation energy: 0.28 eV/atom

Unit cell a=4.500 b=4.500 c=4.500 alpha=60.00 beta=60.00 gamma=60.00
Sites, in units of the cell vectors:
1 Al 0.000 0.000 0.000
2 Al 0.250 0.250 0.250
3 Si 0.500 0.500 0.500
4 Ta 0.750 0.750 0.750

---

# 8
Compound: TaAl2Si
Source: Alexandria via LeMat-Bulk
Functional: PBE-GGA
Structure: relaxed

Computed properties:
calculated total energy: -47.14 eV for the cell shown
magnetization: 0.0 μB/cell
uncorrected formation energy: 0.30 eV/atom

Unit cell a=7.333 b=7.333 c=5.788 alpha=50.70 beta=50.70 gamma=90.00
Sites, in units of the cell vectors:
1 Si 0.500 0.500 0.000
2 Al 0.161 0.625 0.250
3 Si 0.250 0.750 0.500
4 Al 0.375 0.411 0.750
5 Ta 0.750 0.250 0.500
6 Al 0.875 0.839 0.750
7 Al 0.589 0.125 0.250
8 Ta 0.000 0.000 0.000

---

# 9
Compound: TaAl2Si
Source: Alexandria via LeMat-Bulk
Functional: PBE-GGA
Structure: relaxed

Computed properties:
calculated total energy: -25.16 eV for the cell shown
magnetization: 0.0 μB/cell
uncorrected formation energy: -0.10 eV/atom

Unit cell a=4.961 b=4.961 c=4.813 alpha=85.65 beta=85.65 gamma=33.22
Sites, in units of the cell vectors:
1 Al 0.740 0.740 0.768
2 Si 0.514 0.514 0.470
3 Al 0.994 0.994 0.997
4 Ta 0.253 0.253 0.266

---

# 10
Compound: TaAl2Si
Source: Alexandria via LeMat-Bulk
Functional: PBE-GGA
Structure: relaxed

Computed properties:
calculated total energy: -25.49 eV for the cell shown
magnetization: 0.0 μB/cell
uncorrected formation energy: -0.18 eV/atom

Unit cell a=3.412 b=3.412 c=5.465 alpha=90.00 beta=90.00 gamma=90.00
Sites, in units of the cell vectors:
1 Al 0.500 0.500 0.252
2 Al 0.000 0.000 0.003
3 Si 0.000 0.000 0.507
4 Ta 0.500 0.500 0.738

---

# 11
Compound: TaAl2Si
Source: Alexandria via LeMat-Bulk
Functional: PBE-GGA
Structure: relaxed

Computed properties:
calculated total energy: -24.92 eV for the cell shown
magnetization: 0.0 μB/cell
uncorrected formation energy: -0.04 eV/atom

Unit cell a=2.809 b=2.809 c=8.184 alpha=90.00 beta=90.00 gamma=90.00
Sites, in units of the cell vectors:
1 Si 0.000 0.000 0.502
2 Al 0.000 0.000 0.998
3 Al 0.500 0.500 0.258
4 Ta 0.500 0.500 0.742

---

# 12
Compound: TaAlSi2
Source: Alexandria via LeMat-Bulk
Functional: PBE-GGA
Structure: relaxed

Computed properties:
calculated total energy: -26.26 eV for the cell shown
magnetization: 0.0 μB/cell
uncorrected formation energy: 0.05 eV/atom

Unit cell a=2.828 b=2.828 c=7.776 alpha=90.00 beta=90.00 gamma=90.00
Sites, in units of the cell vectors:
1 Si 0.000 0.000 0.000
2 Al 0.500 0.500 0.750
3 Ta 0.500 0.500 0.250
4 Si 0.000 0.000 0.500

---

# 13
Compound: TaAlSi
Source: Alexandria via LeMat-Bulk
Functional: PBE-GGA
Structure: relaxed

Computed properties:
calculated total energy: -20.91 eV for the cell shown
magnetization: 0.0 μB/cell
uncorrected formation energy: 0.04 eV/atom

Unit cell a=6.500 b=6.500 c=6.500 alpha=155.17 beta=155.17 gamma=35.40
Sites, in units of the cell vectors:
1 Al 0.001 0.001 0.000
2 Ta 0.670 0.670 0.000
3 Si 0.329 0.329 0.000

---

# 14
Compound: TaAlSi2
Source: Alexandria via LeMat-Bulk
Functional: PBE-GGA
Structure: relaxed

Computed properties:
calculated total energy: -24.67 eV for the cell shown
magnetization: 0.0 μB/cell
uncorrected formation energy: 0.44 eV/atom

Unit cell a=4.465 b=4.465 c=4.465 alpha=60.00 beta=60.00 gamma=60.00
Sites, in units of the cell vectors:
1 Si 0.250 0.250 0.250
2 Al 0.500 0.500 0.500
3 Si 0.000 0.000 0.000
4 Ta 0.750 0.750 0.750